First-principles (PBEsol) data for a geometry-optimized CaTiF5 structure, as listed in Alexandria via LeMat-Bulk.

a b c (Å): 5.5927 5.5927 7.6596
angles (deg): 109.88 109.88 71.85
Fractional positions:
Ca (0.0429, 0.9571, 0.7500)
Ca (0.9571, 0.0429, 0.2500)
Ti (0.5000, 0.5000, 0.0000)
Ti (0.5000, 0.5000, 0.5000)
F (0.1876, 0.7902, 0.0305)
F (0.2098, 0.8124, 0.4695)
F (0.2496, 0.2902, 0.3809)
F (0.2902, 0.2496, 0.8809)
F (0.4083, 0.5917, 0.7500)
F (0.5917, 0.4083, 0.2500)
F (0.7098, 0.7504, 0.1191)
F (0.7504, 0.7098, 0.6191)
F (0.7902, 0.1876, 0.5305)
F (0.8124, 0.2098, 0.9695)

## Properties
ΔE_f (raw) in eV/atom: -3.58
Spin magnetization in μB per formula unit: 1.0
Relative energy among the computed polymorphs in kJ/mol of formula units: 0

---

First-principles (PBEsol) data for a geometry-optimized SrCoPt structure, as listed in Alexandria via LeMat-Bulk.

a b c (Å): 4.6053 4.6053 4.6053
angles (deg): 60.00 60.00 60.00
Fractional positions:
Sr (0.0000, 0.0000, 0.0000)
Co (0.5000, 0.5000, 0.5000)
Pt (0.7500, 0.7500, 0.7500)

## Properties
Spin magnetization in μB per formula unit: 2.2
Energy of formation from the pure elements in eV per atom: 0.419

---

First-principles (PBEsol) data for a geometry-optimized HfTlCuRh2 structure, as listed in Alexandria via LeMat-Bulk.

a b c (Å): 4.8483 4.8483 5.1338
angles (deg): 90.00 90.00 90.00
Fractional positions:
Hf (0.0000, 0.0000, 0.0000)
Tl (0.0000, 0.0000, 0.5000)
Cu (0.5000, 0.5000, 0.0000)
Rh (0.0000, 0.5000, 0.5000)
Rh (0.5000, 0.0000, 0.5000)

## Properties
Spin magnetization in μB per formula unit: 0.0
Energy of formation from the pure elements in eV per atom: 1.831

---

First-principles (PBEsol) data for a geometry-optimized CoOs3 structure, as listed in Alexandria via LeMat-Bulk.

a b c (Å): 2.6955 4.1985 4.6275
angles (deg): 90.00 90.00 90.00
Fractional positions:
Co (0.0000, 0.0000, 0.0000)
Os (0.0000, 0.5000, 0.3246)
Os (0.5000, 0.0000, 0.5088)
Os (0.5000, 0.5000, 0.8474)

## Properties
Spin magnetization in μB per formula unit: 0.3
Energy of formation from the pure elements in eV per atom: 0.068

---

First-principles (PBEsol) data for a geometry-optimized KTcRh2 structure, as listed in Alexandria via LeMat-Bulk.

a b c (Å): 9.9250 9.9250 9.9250
angles (deg): 15.97 15.97 15.97
Fractional positions:
K (0.0000, 0.0000, 0.0000)
Tc (0.5000, 0.5000, 0.5000)
Rh (0.2377, 0.2377, 0.2377)
Rh (0.7623, 0.7623, 0.7623)

## Properties
Spin magnetization in μB per formula unit: 0.0
Energy of formation from the pure elements in eV per atom: 0.477
Relative energy among the computed polymorphs in kJ/mol of formula units: 39

---

First-principles (PBEsol) data for a geometry-optimized MnPOs2 structure, as listed in Alexandria via LeMat-Bulk.

a b c (Å): 2.7894 2.7894 8.0148
angles (deg): 90.00 90.00 118.50
Fractional positions:
Mn (0.0000, 0.0000, 0.0000)
P (0.0000, 0.0000, 0.5000)
Os (0.5000, 0.5000, 0.2707)
Os (0.5000, 0.5000, 0.7293)

## Properties
Spin magnetization in μB per formula unit: 3.5
Energy of formation from the pure elements in eV per atom: 0.459

---

First-principles (PBEsol) data for a geometry-optimized Si2RhBr structure, as listed in Alexandria via LeMat-Bulk.

a b c (Å): 4.7112 4.7112 2.8676
angles (deg): 90.00 90.00 90.67
Fractional positions:
Si (0.0000, 0.5000, 0.0000)
Si (0.5000, 0.0000, 0.0000)
Rh (0.0000, 0.0000, 0.5000)
Br (0.5000, 0.5000, 0.5000)

## Properties
ΔE_f (raw) in eV/atom: 0.37
Spin magnetization in μB per formula unit: 0.0
Relative energy among the computed polymorphs in kJ/mol of formula units: 144

---

First-principles (PBEsol) data for a geometry-optimized MnMo2 structure, as listed in Alexandria via LeMat-Bulk.

a b c (Å): 2.7050 2.7050 6.5800
angles (deg): 90.00 90.00 120.00
Fractional positions:
Mn (0.0000, 0.0000, 0.0000)
Mo (0.3333, 0.6667, 0.3146)
Mo (0.6667, 0.3333, 0.6854)

## Properties
Spin magnetization in μB per formula unit: 0.0
Energy of formation from the pure elements in eV per atom: 0.388

---

First-principles (PBEsol) data for a geometry-optimized Li2PRu structure, as listed in Alexandria via LeMat-Bulk.

a b c (Å): 4.9251 4.9251 4.9251
angles (deg): 145.20 134.55 58.49
Fractional positions:
Li (0.2400, 0.2400, 0.0000)
Li (0.7600, 0.7600, 0.0000)
P (0.0000, 0.5000, 0.5000)
Ru (0.5000, 0.0000, 0.5000)

## Properties
Spin magnetization in μB per formula unit: 0.0
Energy of formation from the pure elements in eV per atom: -0.303

---

First-principles (PBEsol) data for a geometry-optimized CoAsAu4 structure, as listed in Alexandria via LeMat-Bulk.

a b c (Å): 5.3541 5.3541 5.3541
angles (deg): 60.00 60.00 60.00
Fractional positions:
Co (0.0000, 0.0000, 0.0000)
As (0.2500, 0.2500, 0.2500)
Au (0.1242, 0.6253, 0.6253)
Au (0.6253, 0.1242, 0.6253)
Au (0.6253, 0.6253, 0.1242)
Au (0.6253, 0.6253, 0.6253)

## Properties
Spin magnetization in μB per formula unit: 2.1
Energy of formation from the pure elements in eV per atom: 0.574

---

First-principles (PBEsol) data for a geometry-optimized Na2HgBi2 structure, as listed in Alexandria via LeMat-Bulk.

a b c (Å): 7.7773 7.7773 5.0694
angles (deg): 90.00 90.00 90.00
Fractional positions:
Na (0.1632, 0.3368, 0.0000)
Na (0.3368, 0.8368, 0.0000)
Na (0.6632, 0.1632, 0.0000)
Na (0.8368, 0.6632, 0.0000)
Hg (0.0000, 0.0000, 0.5000)
Hg (0.5000, 0.5000, 0.5000)
Bi (0.1434, 0.6434, 0.5000)
Bi (0.3566, 0.1434, 0.5000)
Bi (0.6434, 0.8566, 0.5000)
Bi (0.8566, 0.3566, 0.5000)

## Properties
Spin magnetization in μB per formula unit: 0.0
Energy of formation from the pure elements in eV per atom: -0.224

---

First-principles (PBEsol) data for a geometry-optimized CaScFe2 structure, as listed in Alexandria via LeMat-Bulk.

a b c (Å): 3.1784 3.1784 7.6153
angles (deg): 90.00 90.00 90.00
Fractional positions:
Ca (0.0000, 0.0000, 0.0000)
Sc (0.5000, 0.5000, 0.6102)
Fe (0.0000, 0.0000, 0.3977)
Fe (0.5000, 0.5000, 0.2722)

## Properties
Spin magnetization in μB per formula unit: 4.9
Energy of formation from the pure elements in eV per atom: 0.239

---

Q: What is the formula in the fifth record?
A: KTcRh2

---

Q: Which formula does entry 12 have?
A: CaScFe2

---

Q: What is the formula in the ninth record?
A: Li2PRu